[1]
Computed, not measured: GaAg2Hg after structural relaxation at the GGA-PBE level of DFT.

Results
Density in g/cm3: 10.47
DFT total energy in eV/atom: -2.1997
Magnetic moment in μB/atom: 0.000
Formation enthalpy at 0 K in kJ/mol of atoms: 5.60

Cell lengths 3.1064, 3.1064, 27.6682 Å; angles 90.00, 90.00, 120.00 degrees
Space group R-3m (No. 166, hexagonal axes)
Unique sites:
Ga 0.0000 0.0000 0.0000 x3
Ag 0.0000 0.0000 0.2556 x6
Hg 0.0000 0.0000 0.5000 x3


[2]
Computed, not measured: GaAg3Hg after structural relaxation at the GGA-PBE level of DFT.

Results
Density in g/cm3: 10.25
DFT total energy in eV/atom: -2.3076
Magnetic moment in μB/atom: 0.000
Excess energy over the best structure of this formula in the dataset in meV/atom: 19
Formation enthalpy at 0 K in kJ/mol of atoms: 6.65

Cell lengths 4.661, 5.982, 7.279 Å; angles 90.00, 108.56, 90.00 degrees
Space group P2_1/m (No. 11)
Unique sites:
Ga 0.196 0.250 0.388 x2
Ag 0.190 0.750 0.381 x2
Ag 0.374 0.505 0.749 x4
Hg 0.000 0.000 0.000 x2


[3]
Computed, not measured: GaAg2Hg2 after structural relaxation at the GGA-PBE level of DFT.

Results
Density in g/cm3: 10.39
DFT total energy in eV/atom: -1.7471
Magnetic moment in μB/atom: 0.000
Excess energy over the best structure of this formula in the dataset in meV/atom: 0
Formation enthalpy at 0 K in kJ/mol of atoms: 11.53

Cell lengths 8.632, 8.632, 2.946 Å; angles 90.00, 90.00, 90.00 degrees
Space group P4/mbm (No. 127)
Unique sites:
Ga 0.000 0.000 0.000 x2
Ag 0.117 0.383 0.500 x4
Hg 0.181 0.681 0.000 x4


[4]
Computed, not measured: GaAgHg3 after structural relaxation at the GGA-PBE level of DFT.

Results
Density in g/cm3: 8.25
DFT total energy in eV/atom: -1.0451
Magnetic moment in μB/atom: 0.000
Excess energy over the best structure of this formula in the dataset in meV/atom: 0
Formation enthalpy at 0 K in kJ/mol of atoms: 30.06

Cell lengths 5.394, 5.394, 5.394 Å; angles 90.00, 90.00, 90.00 degrees
Space group Pm-3m (No. 221)
Unique sites:
Ga 0.000 0.000 0.000 x1
Ag 0.500 0.500 0.500 x1
Hg 0.000 0.500 0.500 x3


[5]
Computed, not measured: Ga3Ag5Hg12 after structural relaxation at the GGA-PBE level of DFT.

Results
Density in g/cm3: 9.18
DFT total energy in eV/atom: -1.1251
Magnetic moment in μB/atom: 0.000
Formation enthalpy at 0 K in kJ/mol of atoms: 21.50

Cell lengths 16.588, 16.588, 16.588 Å; angles 90.00, 90.00, 90.00 degrees
Space group Ia-3d (No. 230)
Unique sites:
Ga 0.000 0.250 0.125 x24
Ag 0.000 0.000 0.000 x16
Ag 0.000 0.250 0.375 x24
Hg 0.023 0.085 0.649 x96


[6]
Computed, not measured: GaAgHg after structural relaxation at the GGA-PBE level of DFT.

Results
Density in g/cm3: 10.46
DFT total energy in eV/atom: -2.0062
Magnetic moment in μB/atom: 0.000
Excess energy over the best structure of this formula in the dataset in meV/atom: 0
Formation enthalpy at 0 K in kJ/mol of atoms: 5.19

Cell lengths 3.1788, 3.1788, 6.8578 Å; angles 90.00, 90.00, 120.00 degrees
Space group P3m1 (No. 156)
Unique sites:
Ga 0.0000 0.0000 0.0000 x1
Ag 0.6667 0.3333 0.3052 x1
Hg 0.3333 0.6667 0.6514 x1


[7]
Computed, not measured: Ga2AgHg2 after structural relaxation at the GGA-PBE level of DFT.

Results
Density in g/cm3: 9.60
DFT total energy in eV/atom: -1.7528
Magnetic moment in μB/atom: 0.000
Excess energy over the best structure of this formula in the dataset in meV/atom: 60
Formation enthalpy at 0 K in kJ/mol of atoms: 14.37

Cell lengths 7.644, 7.644, 3.841 Å; angles 90.00, 90.00, 90.00 degrees
Space group P4/mbm (No. 127)
Unique sites:
Ga 0.152 0.348 0.000 x4
Ag 0.000 0.000 0.500 x2
Hg 0.152 0.652 0.500 x4


[8]
Computed, not measured: GaAg3Hg after structural relaxation at the GGA-PBE level of DFT.

Results
Density in g/cm3: 6.74
DFT total energy in eV/atom: -1.7386
Magnetic moment in μB/atom: 0.000
Excess energy over the best structure of this formula in the dataset in meV/atom: 588
Formation enthalpy at 0 K in kJ/mol of atoms: 61.55

Cell lengths 5.271, 5.271, 5.271 Å; angles 90.00, 90.00, 90.00 degrees
Space group Pm-3m (No. 221)
Unique sites:
Ga 0.000 0.000 0.000 x1
Ag 0.000 0.500 0.500 x3
Hg 0.500 0.500 0.500 x1